A relaxed structure of NaPtN2. Source: Alexandria, functional PBE-GGA.

Properties
total moment	0.000	μB/atom
electronic total energy	-5.2651	eV/atom
raw formation energy	738	meV/atom
polymorph energy (0 for the lowest one)	0.798	eV/atom

Unit cell a=6.6027 b=6.6027 c=6.6027 alpha=28.43 beta=28.43 gamma=28.43
Positions (direct):
Na1 0.0000 0.0000 0.0000
Pt1 0.5000 0.5000 0.5000
N1 0.1178 0.1178 0.1178
N2 0.8822 0.8822 0.8822